The following is a DFT calculation (PBE-GGA) of crystalline La3SmSi2 at its relaxed geometry.

## Properties
E_form (uncorrected) = -489.7 meV/atom
Total DFT energy (no corrections) = -5.5476 eV/atom
Calculated volume = 29.21 A^3/atom

Geometry as extended XYZ:
```
6
Lattice="-7.063 -4.413 3.269 -8.864 1.137 0.441 7.648 0.014 -4.643" Properties=species:S:1:pos:R:3 pbc="T T T"
Sm 0.000 0.000 0.000
La -5.659 -0.464 -0.925
La -7.963 -1.638 1.855
La -2.620 -2.798 -0.009
Si -5.573 -3.406 0.679
Si -2.706 0.144 -1.612
```

=====

The following is a DFT calculation (PBE-GGA) of crystalline Rb2CoBiBr6 at its relaxed geometry.

## Properties
E_form (uncorrected) = -928.9 meV/atom
Total DFT energy (no corrections) = -3.2249 eV/atom
Calculated volume = 33.51 A^3/atom

Geometry as extended XYZ:
```
10
Lattice="-4.010 2.981 5.985 -6.053 -4.584 -1.772 -3.023 -4.731 5.410" Properties=species:S:1:pos:R:3 pbc="T T T"
Br -7.421 -1.182 3.107
Br -9.008 -3.667 5.949
Br -4.078 -2.667 3.675
Br -4.546 0.995 3.949
Br -5.517 -2.597 0.265
Br -2.642 -0.421 1.106
Rb -7.054 -5.058 2.873
Rb -6.032 -1.275 6.751
Co -5.032 -0.801 2.107
Bi 0.000 0.000 0.000
```

=====

The following is a DFT calculation (PBE-GGA) of crystalline RbHf2TaO8 at its relaxed geometry.

## Properties
E_form (uncorrected) = -2621.0 meV/atom
Total DFT energy (no corrections) = -8.6537 eV/atom
Calculated volume = 14.37 A^3/atom

Geometry as extended XYZ:
```
12
Lattice="-1.039 -2.445 -4.050 3.076 -3.531 1.235 -5.307 -3.867 3.337" Properties=species:S:1:pos:R:3 pbc="T T T"
Ta 0.000 0.000 0.000
Rb -2.653 -1.933 1.668
O -1.256 -3.275 -2.265
O -3.832 -8.013 1.335
O -1.353 -5.534 -0.085
O -2.013 -6.568 2.787
O -1.917 -4.308 0.607
O 0.562 -1.830 -0.814
O -4.441 -5.927 -0.331
O 1.171 -3.916 0.853
Hf -0.089 -3.869 -0.726
Hf -3.180 -5.974 1.248
```

=====

The following is a DFT calculation (PBE-GGA) of crystalline MgSnHgAu at its relaxed geometry.

## Properties
Formation energy from the elements = -147.7 meV per atom
Total DFT energy (no corrections) = -2.4418 eV/atom
Calculated volume = 21.99 A^3/atom

Geometry as extended XYZ:
```
4
Lattice="4.992 0.000 0.000 2.496 4.323 0.000 2.496 1.441 4.076" Properties=species:S:1:pos:R:3 pbc="T T T"
Sn 4.992 2.882 2.038
Au 2.496 1.441 1.019
Mg 0.000 0.000 0.000
Hg 7.488 4.323 3.057
```

=====

The following is a DFT calculation (PBE-GGA) of crystalline MgTlAs at its relaxed geometry.

## Properties
Formation energy from the elements = -118.6 meV per atom
Total DFT energy (no corrections) = -2.9888 eV/atom
Calculated volume = 25.59 A^3/atom

Geometry as extended XYZ:
```
3
Lattice="-0.970 0.713 4.616 -1.366 -3.657 2.743 2.944 -1.702 3.346" Properties=species:S:1:pos:R:3 pbc="T T T"
As 0.304 -2.323 5.353
Mg 0.456 -3.484 8.030
Tl 0.000 0.000 0.000
```

=====

The following is a DFT calculation (PBE-GGA) of crystalline ErPBr at its relaxed geometry.

## Properties
E_form (uncorrected) = -1388.5 meV/atom
Total DFT energy (no corrections) = -5.2704 eV/atom
Calculated volume = 30.76 A^3/atom

Geometry as extended XYZ:
```
6
Lattice="3.853 0.023 0.015 -1.884 4.658 -0.067 0.023 -2.871 10.294" Properties=species:S:1:pos:R:3 pbc="T T T"
Br 0.070 -0.130 6.934
Br 1.922 1.940 3.308
Er 0.036 1.227 1.382
Er 1.956 0.584 8.860
P 1.810 -2.116 9.494
P 0.182 3.927 0.748
```

=====

The following is a DFT calculation (PBE-GGA) of crystalline Ca2TiAs at its relaxed geometry.

## Properties
Formation energy from the elements = -92.0 meV per atom
Total DFT energy (no corrections) = -4.2289 eV/atom
Calculated volume = 33.81 A^3/atom

Geometry as extended XYZ:
```
8
Lattice="10.431 0.000 0.000 0.000 10.431 0.000 5.215 5.215 2.486" Properties=species:S:1:pos:R:3 pbc="T T T"
Ca 7.823 6.350 1.865
Ca 13.038 4.080 1.865
Ca 11.566 7.823 0.622
Ca 9.296 2.608 0.622
Ti 5.215 10.431 1.243
Ti 5.215 5.215 0.000
As 10.431 5.215 1.243
As 0.000 0.000 0.000
```

=====

The following is a DFT calculation (PBE-GGA) of crystalline Nb2Pd7Pt2 at its relaxed geometry.

## Properties
Formation energy from the elements = -114.1 meV per atom
Total DFT energy (no corrections) = -6.3478 eV/atom
Calculated volume = 16.91 A^3/atom

Geometry as extended XYZ:
```
11
Lattice="4.967 -0.240 -0.274 -0.733 6.128 0.803 -0.733 -0.019 6.180" Properties=species:S:1:pos:R:3 pbc="T T T"
Pd 3.344 0.180 2.364
Pd 2.966 2.792 3.191
Pd 0.156 5.689 4.346
Pd 2.483 -0.120 -0.137
Pd 0.156 3.550 6.216
Pd 3.344 2.319 0.493
Pd 0.535 3.077 3.518
Nb -0.733 1.198 5.115
Nb -0.733 4.910 1.868
Pt 0.844 1.283 1.467
Pt 2.657 4.586 5.242
```

=====

The following is a DFT calculation (PBE-GGA) of crystalline Be2InPd2 at its relaxed geometry.

## Properties
Formation energy from the elements = -327.0 meV per atom
Total DFT energy (no corrections) = -4.4423 eV/atom
Calculated volume = 14.28 A^3/atom

Geometry as extended XYZ:
```
5
Lattice="-3.124 1.040 0.306 -1.065 -3.120 -0.261 -1.686 -1.720 6.501" Properties=species:S:1:pos:R:3 pbc="T T T"
Be -2.423 -2.940 3.132
Be -3.453 -0.860 3.415
Pd -3.879 -2.596 4.964
Pd -1.996 -1.204 1.582
In 0.000 0.000 0.000
```

=====

The following is a DFT calculation (PBE-GGA) of crystalline Be2FeTcAu at its relaxed geometry.

## Properties
Formation energy from the elements = 1051.3 meV per atom
Total DFT energy (no corrections) = -4.8604 eV/atom
Calculated volume = 15.57 A^3/atom

Geometry as extended XYZ:
```
5
Lattice="4.202 0.000 0.000 0.000 4.408 0.000 0.000 0.000 4.202" Properties=species:S:1:pos:R:3 pbc="T T T"
Be 0.000 0.000 2.101
Be 2.101 0.000 0.000
Fe 0.000 2.204 0.000
Tc 0.000 0.000 0.000
Au 2.101 2.204 2.101
```

=====

The following is a DFT calculation (PBE-GGA) of crystalline MgSnNO2 at its relaxed geometry.

## Properties
E_form (uncorrected) = -191.7 meV/atom
Total DFT energy (no corrections) = -4.9595 eV/atom
Calculated volume = 13.00 A^3/atom

Geometry as extended XYZ:
```
5
Lattice="3.966 0.000 0.000 0.000 3.966 0.000 0.000 0.000 4.131" Properties=species:S:1:pos:R:3 pbc="T T T"
Sn 1.983 1.983 2.066
Mg 0.000 0.000 0.000
N 0.000 0.000 2.066
O 0.000 1.983 0.000
O 1.983 0.000 0.000
```

=====

The following is a DFT calculation (PBE-GGA) of crystalline Mn4InW at its relaxed geometry.

## Properties
Formation energy from the elements = 143.5 meV per atom
Total DFT energy (no corrections) = -8.5848 eV/atom
Calculated volume = 13.26 A^3/atom

Geometry as extended XYZ:
```
6
Lattice="-0.153 0.099 4.824 1.930 3.718 2.400 -2.863 3.163 2.260" Properties=species:S:1:pos:R:3 pbc="T T T"
Mn -1.843 4.201 4.686
Mn 0.562 4.480 4.757
Mn -0.407 2.614 3.552
Mn -0.483 2.664 5.973
W -0.814 5.235 7.113
In 0.000 0.000 0.000
```